A plane-wave DFT calculation with PBE-GGA was carried out for a relaxed structure of Pm2LuP.

a = 3.6811 Å, b = 3.6811 Å, c = 8.0690 Å
α = 90.00°, β = 90.00°, γ = 90.00°
Last column: nearest neighbours and their distance in Å.
Space group P4/mmm (No. 123)
Asymmetric unit:
Pm: 0.0000 0.0000 0.1958 [2 per cell]  4 P 3.04, 1 Pm 3.16
Lu: 0.5000 0.5000 0.5000 [1 per cell]  8 Pm 3.58, 4 Lu 3.68
P: 0.5000 0.5000 0.0000 [1 per cell]  8 Pm 3.04

Calculated values
As for the formation energy: -511 meV/atom. The electronic total energy is -5.37 eV/atom. The density of states at the Fermi level is 4.11 states/eV/cell. The theoretical density is 7.532 g/cm³. The crystal system is tetragonal.